meta-GGA SCAN CaZn2Ge2, single point on PBEsol structure; energy relative to the elements = -0.34 eV per atom; crystal system = tetragonal; Fermi-level density of states = 1.471 states/eV/f.u.; V = 19.06 A^3/atom; density = 5.51 Mg/m³
1.0
-2.128 2.128 5.263
2.128 -2.128 5.263
2.128 2.128 -5.263
Ca Zn Ge
1 2 2
Direct
0.000 0.000 0.000
0.387 0.387 0.000
0.613 0.613 0.000
0.250 0.750 0.500
0.750 0.250 0.500